Entry from the Alexandria database: a relaxed structure of KBaNpF6 (GGA-PBE).

It has space group P-31c (No. 163), with a = 6.7926 Å, b = 6.7926 Å, c = 9.5808 Å, α = 90.00°, β = 90.00° and γ = 120.00°. Symmetry generates all atoms from K at (0.0000, 0.0000, 0.0000), Ba at (0.3333, 0.6667, 0.2500), Np at (0.3333, 0.6667, 0.7500) and F at (0.0365, 0.3758, 0.6301).

The calculation puts the spin magnetization at 0.444 μB per atom. The formation energy from raw total energies is -3.372 eV/atom. For the calculated total energy, the calculation gives -6.393 eV/atom.